(1)
Compound: Ta2AsPt2
Source: Alexandria
Functional: GGA-PBE
Structure: relaxed

* V: 181 Å³ per cell
* crystal system: tetragonal
* size of the total moment: 0.00 μB/f.u.
* energy: -83.18 eV/cell

Unit cell a=8.030 b=8.030 c=2.807 alpha=90.00 beta=90.00 gamma=90.00
Space group P4/mbm (No. 127)
Symmetry-distinct sites (fractional):
Ta 0.166 0.334 0.000 (multiplicity 4)
As 0.000 0.000 0.500 (multiplicity 2)
Pt 0.128 0.628 0.500 (multiplicity 4)

=====

(2)
Compound: TaAsPt
Source: Alexandria
Functional: GGA-PBE
Structure: relaxed

* V: 213 Å³ per cell
* crystal system: monoclinic
* size of the total moment: 0.00 μB/f.u.
* energy: -93.92 eV/cell

Unit cell a=10.417 b=3.326 c=6.817 alpha=90.00 beta=115.46 gamma=90.00
Space group C2/m (No. 12)
Symmetry-distinct sites (fractional):
Ta 0.123 0.000 0.387 (multiplicity 4)
As 0.167 0.500 0.118 (multiplicity 4)
Pt 0.115 0.500 0.709 (multiplicity 4)

=====

(3)
Compound: Ta3AsPt
Source: Alexandria
Functional: GGA-PBE
Structure: relaxed

* V: 102 Å³ per cell
* crystal system: cubic
* size of the total moment: 0.00 μB/f.u.
* energy: -42.03 eV/cell
* polymorph energy (0 for the lowest one): 0.0 meV/atom

Unit cell a=4.665 b=4.665 c=4.665 alpha=90.00 beta=90.00 gamma=90.00
Space group Pm-3m (No. 221)
Symmetry-distinct sites (fractional):
Ta 0.000 0.000 0.500 (multiplicity 3)
As 0.000 0.000 0.000 (multiplicity 1)
Pt 0.500 0.500 0.500 (multiplicity 1)

=====

(4)
Compound: TaAs4Pt
Source: Alexandria
Functional: GGA-PBE
Structure: relaxed

* V: 433 Å³ per cell
* crystal system: cubic
* size of the total moment: 0.00 μB/f.u.
* energy: -131.23 eV/cell

Unit cell a=7.566 b=7.566 c=7.566 alpha=90.00 beta=90.00 gamma=90.00
Space group F-43m (No. 216)
Symmetry-distinct sites (fractional):
Ta 0.000 0.000 0.000 (multiplicity 4)
As 0.125 0.125 0.625 (multiplicity 16)
Pt 0.250 0.250 0.250 (multiplicity 4)

=====

(5)
Compound: TaAsPt
Source: Alexandria
Functional: GGA-PBE
Structure: relaxed

* V: 51 Å³ per cell
* crystal system: trigonal
* size of the total moment: 0.00 μB/f.u.
* energy: -23.13 eV/cell

Unit cell a=4.1899 b=4.1899 c=3.3574 alpha=90.00 beta=90.00 gamma=120.00
Space group P3m1 (No. 156)
Symmetry-distinct sites (fractional):
Ta 0.0000 0.0000 0.0000 (multiplicity 1)
As 0.6667 0.3333 0.3873 (multiplicity 1)
Pt 0.3333 0.6667 0.5895 (multiplicity 1)

=====

(6)
Compound: TaZnAsPt2
Source: Alexandria
Functional: GGA-PBE
Structure: relaxed

* V: 96 Å³ per cell
* crystal system: tetragonal
* size of the total moment: 0.01 μB/f.u.
* energy: -25.39 eV/cell

Unit cell a=4.602 b=4.602 c=4.530 alpha=90.00 beta=90.00 gamma=90.00
Space group P4/mmm (No. 123)
Symmetry-distinct sites (fractional):
Ta 0.000 0.000 0.000 (multiplicity 1)
Zn 0.500 0.500 0.500 (multiplicity 1)
As 0.500 0.500 0.000 (multiplicity 1)
Pt 0.000 0.500 0.500 (multiplicity 2)

=====

(7)
Compound: TbAsPt
Source: Alexandria
Functional: GGA-PBE
Structure: relaxed

* V: 128 Å³ per cell
* crystal system: tetragonal
* size of the total moment: 0.00 μB/f.u.
* energy: -35.48 eV/cell

Unit cell a=3.909 b=3.909 c=8.393 alpha=90.00 beta=90.00 gamma=90.00
Space group I4mm (No. 107)
Symmetry-distinct sites (fractional):
Tb 0.000 0.000 0.000 (multiplicity 2)
As 0.000 0.000 0.338 (multiplicity 2)
Pt 0.000 0.000 0.640 (multiplicity 2)

=====

(8)
Compound: TbAsPt
Source: Alexandria
Functional: GGA-PBE
Structure: relaxed

* V: 360 Å³ per cell
* crystal system: tetragonal
* size of the total moment: 0.00 μB/f.u.
* energy: -67.16 eV/cell

Unit cell a=4.652 b=4.652 c=16.655 alpha=90.00 beta=90.00 gamma=90.00
Space group I4_1md (No. 109)
Symmetry-distinct sites (fractional):
Tb 0.000 0.000 0.000 (multiplicity 4)
As 0.000 0.000 0.372 (multiplicity 4)
Pt 0.000 0.000 0.167 (multiplicity 4)

=====

(9)
Compound: Tb2AsPt3
Source: Alexandria
Functional: GGA-PBE
Structure: relaxed

* V: 123 Å³ per cell
* crystal system: orthorhombic
* size of the total moment: 0.00 μB/f.u.
* energy: -38.64 eV/cell

Unit cell a=3.632 b=4.396 c=7.733 alpha=90.00 beta=90.00 gamma=90.00
Space group Pmm2 (No. 25)
Symmetry-distinct sites (fractional):
Tb 0.000 0.000 0.000 (multiplicity 1)
Tb 0.000 0.500 0.474 (multiplicity 1)
As 0.500 0.500 0.810 (multiplicity 1)
Pt 0.500 0.000 0.326 (multiplicity 1)
Pt 0.500 0.000 0.673 (multiplicity 1)
Pt 0.500 0.500 0.130 (multiplicity 1)

=====

(10)
Compound: Tb2AsPt6
Source: Alexandria
Functional: GGA-PBE
Structure: relaxed

* V: 333 Å³ per cell
* crystal system: monoclinic
* size of the total moment: 0.00 μB/f.u.
* energy: -116.81 eV/cell

Unit cell a=9.742 b=5.655 c=6.198 alpha=90.00 beta=103.07 gamma=90.00
Space group C2/m (No. 12)
Symmetry-distinct sites (fractional):
Tb 0.144 0.000 0.355 (multiplicity 4)
As 0.000 0.500 0.500 (multiplicity 2)
Pt 0.127 0.500 0.201 (multiplicity 4)
Pt 0.133 0.243 0.813 (multiplicity 8)

=====

(11)
Compound: Tb2AsPt
Source: Alexandria
Functional: GGA-PBE
Structure: relaxed

* V: 298 Å³ per cell
* crystal system: trigonal
* size of the total moment: 0.00 μB/f.u.
* energy: -74.61 eV/cell

Unit cell a=4.1025 b=4.1025 c=20.4428 alpha=90.00 beta=90.00 gamma=120.00
Space group R-3m (No. 166, hexagonal axes)
Symmetry-distinct sites (fractional):
Tb 0.0000 0.0000 0.2490 (multiplicity 6)
As 0.0000 0.0000 0.0000 (multiplicity 3)
Pt 0.0000 0.0000 0.5000 (multiplicity 3)

=====

(12)
Compound: Tb4Te2AsPt
Source: Alexandria
Functional: GGA-PBE
Structure: relaxed

* V: 221 Å³ per cell
* crystal system: monoclinic
* size of the total moment: 0.00 μB/f.u.
* energy: -46.40 eV/cell

Unit cell a=7.412 b=4.185 c=7.519 alpha=90.00 beta=108.91 gamma=90.00
Space group P2/m (No. 10)
Symmetry-distinct sites (fractional):
Tb 0.230 0.000 0.211 (multiplicity 2)
Tb 0.259 0.500 0.779 (multiplicity 2)
Te 0.000 0.000 0.500 (multiplicity 1)
Te 0.500 0.500 0.500 (multiplicity 1)
As 0.500 0.000 0.000 (multiplicity 1)
Pt 0.000 0.500 0.000 (multiplicity 1)